A plane-wave DFT calculation with PBEsol was carried out for a relaxed structure of ZrTlCd2.

energy above the lowest structure with this stoichiometry	0.45	eV/f.u.
ΔE_f	-51	meV per atom
crystal system	monoclinic
space group	P2/m
N(E_F)	2.24	states/eV/f.u.

```
data_ZrTlCd2
_space_group_name_H-M_alt 'P 1'
_space_group_IT_number 1
_cell_length_a 3.041
_cell_length_b 5.390
_cell_length_c 5.647
_cell_angle_alpha 110.75
_cell_angle_beta 90.00
_cell_angle_gamma 90.00
loop_
_space_group_symop_operation_xyz
'x,y,z'
loop_
_atom_site_label
_atom_site_type_symbol
_atom_site_fract_x
_atom_site_fract_y
_atom_site_fract_z
Tl1 Tl 0.500 0.000 0.500
Zr1 Zr 0.000 0.500 0.500
Cd1 Cd 0.000 0.000 0.000
Cd2 Cd 0.500 0.500 0.000
```